Computed, not measured: a relaxed NaCrBRu2 crystal at the GGA-PBE level of DFT.

Calculated values
VASP energy   -20.36 eV/f.u.
Total magnetization   0.03 μB per formula unit
DFT formation energy   15.81 eV per formula unit
N(E_F)   1.79 states/eV per atom

abc: 4.425 4.425 4.110
angles: 90.00 90.00 90.00
Element x y z (fractional)
Na 0.000 0.000 0.000
Cr 0.000 0.000 0.500
B 0.500 0.500 0.500
Ru 0.000 0.500 0.000
Ru 0.500 0.000 0.000



Computed, not measured: a relaxed NaSc2CrB crystal at the GGA-PBE level of DFT.

Calculated values
VASP energy   -22.79 eV/f.u.
Total magnetization   1.86 μB per formula unit
DFT formation energy   7.49 eV per formula unit
N(E_F)   0.94 states/eV per atom

abc: 4.761 4.761 5.018
angles: 90.00 90.00 90.00
Element x y z (fractional)
Na 0.000 0.000 0.000
Sc 0.000 0.500 0.500
Sc 0.500 0.000 0.500
Cr 0.000 0.000 0.500
B 0.500 0.500 0.000



Computed, not measured: a relaxed Na2CrSiB crystal at the GGA-PBE level of DFT.

Calculated values
VASP energy   -17.38 eV/f.u.
Total magnetization   4.97 μB per formula unit
N(E_F)   0.33 states/eV per atom
Uncorrected formation energy   1395.9 meV/atom

abc: 5.449 5.449 4.719
angles: 90.00 90.00 90.00
Element x y z (fractional)
Na 0.000 0.500 0.000
Na 0.500 0.000 0.000
Cr 0.000 0.000 0.500
Si 0.000 0.000 0.000
B 0.500 0.500 0.500



Computed, not measured: a relaxed NaCrSn2B crystal at the GGA-PBE level of DFT.

Calculated values
VASP energy   -23.30 eV/f.u.
Total magnetization   0.00 μB per formula unit
DFT formation energy   2.32 eV per formula unit
N(E_F)   0.36 states/eV per atom

abc: 5.003 5.003 4.196
angles: 90.00 90.00 90.00
Element x y z (fractional)
Na 0.000 0.000 0.000
Cr 0.500 0.500 0.500
Sn 0.000 0.500 0.500
Sn 0.500 0.000 0.500
B 0.500 0.500 0.000



Computed, not measured: a relaxed NaSr2CrB crystal at the GGA-PBE level of DFT.

Calculated values
VASP energy   -13.74 eV/f.u.
Total magnetization   4.00 μB per formula unit
DFT formation energy   7.25 eV per formula unit
N(E_F)   0.57 states/eV per atom

abc: 6.120 6.120 5.312
angles: 90.00 90.00 90.00
Element x y z (fractional)
Na 0.000 0.000 0.000
Sr 0.000 0.500 0.500
Sr 0.500 0.000 0.500
Cr 0.000 0.000 0.500
B 0.500 0.500 0.000



Computed, not measured: a relaxed NaCrB2Te crystal at the GGA-PBE level of DFT.

Calculated values
VASP energy   -17.32 eV/f.u.
Total magnetization   0.15 μB per formula unit
N(E_F)   1.14 states/eV per atom
Uncorrected formation energy   2023.4 meV/atom

abc: 4.650 4.650 4.857
angles: 90.00 90.00 90.00
Element x y z (fractional)
Na 0.000 0.000 0.000
Cr 0.500 0.500 0.000
B 0.000 0.500 0.500
B 0.500 0.000 0.500
Te 0.500 0.500 0.500